Compound: Zn2FeTe
Source: the Alexandria database
Functional: meta-GGA SCAN
Structure: PBEsol geometry

The value obtained for the density of states at the Fermi level is 1.735 states/eV per cell. The value obtained for the electronic total energy is -20.43 eV per atom.

Lattice parameters (Å, degrees): 3.572 3.504 5.726 90.00 108.02 90.00
Space group Pm (No. 6)
Asymmetric unit:
Zn1 0.000 0.000 0.000 [1 per cell]
Zn2 0.494 0.500 0.988 [1 per cell]
Fe1 0.164 0.500 0.332 [1 per cell]
Te1 0.753 0.000 0.512 [1 per cell]